Record 1
Here is crystalline ThZr4Sc9 at its relaxed geometry from the Alexandria database. Energies are from PBE.

The value obtained for the volume is 707 Å³/cell. The value obtained for the energy relative to the elements is 204 meV/atom. As for the total energy: -6.839 eV/atom. The total magnetic moment comes out at 0.0 μB/f.u. The value obtained for the density of states at the Fermi level is 52.65 states/eV per cell.

POSCAR file:
```
ThZr4Sc9
1.0
8.905 0.000 0.000
-4.452 7.712 0.000
0.000 0.000 10.294
Th Zr Sc
2 8 18
direct
0.333 0.667 0.250 Th
0.667 0.333 0.750 Th
0.000 0.000 0.000 Zr
0.000 0.000 0.500 Zr
0.112 0.224 0.750 Zr
0.112 0.888 0.750 Zr
0.224 0.112 0.250 Zr
0.776 0.888 0.750 Zr
0.888 0.112 0.250 Zr
0.888 0.776 0.250 Zr
0.088 0.544 0.750 Sc
0.203 0.407 0.025 Sc
0.203 0.407 0.475 Sc
0.203 0.797 0.025 Sc
0.203 0.797 0.475 Sc
0.407 0.203 0.525 Sc
0.407 0.203 0.975 Sc
0.456 0.544 0.750 Sc
0.456 0.912 0.750 Sc
0.544 0.088 0.250 Sc
0.544 0.456 0.250 Sc
0.593 0.797 0.025 Sc
0.593 0.797 0.475 Sc
0.797 0.203 0.525 Sc
0.797 0.203 0.975 Sc
0.797 0.593 0.525 Sc
0.797 0.593 0.975 Sc
0.912 0.456 0.250 Sc
```

***

Record 2
Here is crystalline Sc2ReSi at its relaxed geometry from the Alexandria database. Energies are from PBE.

The value obtained for the volume is 69 Å³/cell. As for the total energy: -8.007 eV/atom. The total magnetic moment comes out at 0.0 μB/f.u. The value obtained for the density of states at the Fermi level is 2.75 states/eV per cell.

POSCAR file:
```
Sc2ReSi
1.0
3.393 0.000 0.000
0.000 3.413 0.000
0.000 0.000 5.961
Sc Re Si
2 1 1
direct
0.000 0.000 0.246 Sc
0.000 0.000 0.754 Sc
0.500 0.500 0.000 Re
0.500 0.500 0.500 Si
```

***

Record 3
Here is crystalline TbHo3Sb3 at its relaxed geometry from the Alexandria database. Energies are from PBE.

The energy above the most stable polymorph in this dataset is 2.13 kcal/mol of atoms. The value obtained for the volume is 424 Å³/cell. As for the total energy: -5.279 eV/atom. The total magnetic moment comes out at 0.0 μB/f.u. The value obtained for the density of states at the Fermi level is 9.39 states/eV per cell.

POSCAR file:
```
TbHo3Sb3
1.0
4.474 2.583 6.116
-4.474 2.583 6.116
0.000 -5.166 6.116
Tb Ho Sb
2 6 6
direct
0.166 0.166 0.166 Tb
0.834 0.834 0.834 Tb
0.155 0.413 0.678 Ho
0.322 0.845 0.587 Ho
0.413 0.678 0.155 Ho
0.587 0.322 0.845 Ho
0.678 0.155 0.413 Ho
0.845 0.587 0.322 Ho
0.030 0.801 0.421 Sb
0.199 0.579 0.970 Sb
0.421 0.030 0.801 Sb
0.579 0.970 0.199 Sb
0.801 0.421 0.030 Sb
0.970 0.199 0.579 Sb
```

***

Record 4
Here is crystalline Cu3RuF at its relaxed geometry from the Alexandria database. Energies are from PBE.

The energy above the most stable polymorph in this dataset is 0.00 kcal/mol of atoms. The value obtained for the volume is 66 Å³/cell. As for the total energy: -4.180 eV/atom. The total magnetic moment comes out at 1.7 μB/f.u. The value obtained for the density of states at the Fermi level is 5.80 states/eV per cell.

POSCAR file:
```
Cu3RuF
1.0
4.045 0.000 0.000
0.000 4.045 0.000
0.000 0.000 4.045
Cu Ru F
3 1 1
direct
0.000 0.000 0.500 Cu
0.000 0.500 0.000 Cu
0.500 0.000 0.000 Cu
0.500 0.500 0.500 Ru
0.000 0.000 0.000 F
```

***

Record 5
Here is crystalline PrNdYTh at its relaxed geometry from the Alexandria database. Energies are from PBE.

The energy above the most stable polymorph in this dataset is 0.00 kcal/mol of atoms. The value obtained for the volume is 408 Å³/cell. The value obtained for the energy relative to the elements is 31 meV/atom. As for the total energy: -5.827 eV/atom. The total magnetic moment comes out at 0.0 μB/f.u. The value obtained for the density of states at the Fermi level is 19.76 states/eV per cell.

POSCAR file:
```
PrNdYTh
1.0
3.651 0.000 0.000
-1.825 3.162 0.000
0.000 0.000 35.367
Pr Nd Y Th
3 3 3 3
direct
0.000 0.000 0.000 Pr
0.333 0.667 0.667 Pr
0.667 0.333 0.333 Pr
0.000 0.000 0.169 Nd
0.333 0.667 0.836 Nd
0.667 0.333 0.503 Nd
0.000 0.000 0.419 Y
0.333 0.667 0.085 Y
0.667 0.333 0.752 Y
0.000 0.000 0.585 Th
0.333 0.667 0.251 Th
0.667 0.333 0.918 Th
```

***

Record 6
Here is crystalline Th2InGe3Pd4 at its relaxed geometry from the Alexandria database. Energies are from PBE.

The value obtained for the volume is 200 Å³/cell. The value obtained for the energy relative to the elements is -761 meV/atom. As for the total energy: -5.981 eV/atom. The total magnetic moment comes out at 0.0 μB/f.u. The value obtained for the density of states at the Fermi level is 6.58 states/eV per cell.

POSCAR file:
```
Th2InGe3Pd4
1.0
4.287 0.000 0.000
0.000 4.287 0.000
0.000 0.000 10.879
Th In Ge Pd
2 1 3 4
direct
0.000 0.500 0.233 Th
0.500 0.000 0.767 Th
0.000 0.000 0.500 In
0.000 0.500 0.873 Ge
0.500 0.000 0.127 Ge
0.500 0.500 0.500 Ge
0.000 0.000 0.000 Pd
0.000 0.500 0.648 Pd
0.500 0.000 0.352 Pd
0.500 0.500 0.000 Pd
```

***

Record 7
Here is crystalline Na2TlCd2 at its relaxed geometry from the Alexandria database. Energies are from PBE.

The energy above the most stable polymorph in this dataset is 0.00 kcal/mol of atoms. The value obtained for the volume is 132 Å³/cell. The value obtained for the energy relative to the elements is -96 meV/atom. As for the total energy: -1.463 eV/atom. The total magnetic moment comes out at 0.0 μB/f.u. The value obtained for the density of states at the Fermi level is 2.29 states/eV per cell.

POSCAR file:
```
Na2TlCd2
1.0
5.066 0.000 0.000
0.000 3.364 0.000
-2.523 0.000 7.758
Na Tl Cd
2 1 2
direct
0.113 0.000 0.222 Na
0.887 0.000 0.778 Na
0.500 0.500 0.000 Tl
0.300 0.500 0.598 Cd
0.700 0.500 0.402 Cd
```

***

Record 8
Here is crystalline Tl2IrCl6 at its relaxed geometry from the Alexandria database. Energies are from PBE.

The value obtained for the volume is 264 Å³/cell. As for the total energy: -3.473 eV/atom. The total magnetic moment comes out at 1.1 μB/f.u. The value obtained for the density of states at the Fermi level is 7.90 states/eV per cell.

POSCAR file:
```
Tl2IrCl6
1.0
6.038 -3.492 0.000
6.038 3.492 0.000
-0.109 0.000 6.268
Tl Ir Cl
2 1 6
direct
0.168 0.168 0.181 Tl
0.832 0.832 0.819 Tl
0.500 0.500 0.000 Ir
0.184 0.660 0.213 Cl
0.339 0.339 0.785 Cl
0.340 0.816 0.787 Cl
0.660 0.184 0.213 Cl
0.661 0.661 0.215 Cl
0.816 0.340 0.787 Cl
```